Zr3Bi2Sb2Pd4 | PBE-GGA | optimized geometry

```
Zr3Bi2Sb2Pd4
1.0
-3.210 3.210 6.410
3.210 -3.210 6.410
3.210 3.210 -6.410
Bi Pd Sb Zr
2 4 2 3
direct
0.500 0.000 0.500
0.000 0.500 0.500
0.894 0.372 0.000
0.372 0.894 0.000
0.106 0.106 0.479
0.628 0.628 0.521
0.260 0.260 0.000
0.740 0.740 0.000
0.000 0.000 0.000
0.750 0.250 0.500
0.250 0.750 0.500
```

Calculated values
Relative energy among the computed polymorphs in eV/f.u.: 0.00



CsPrTe3Pb | PBE-GGA | optimized geometry

```
CsPrTe3Pb
1.0
1.330 0.595 -8.737
-5.698 0.095 6.781
1.509 12.640 1.090
Cs Pb Pr Te
2 2 2 6
direct
0.755 0.245 0.250
0.245 0.755 0.750
0.047 0.953 0.250
0.953 0.047 0.750
0.500 0.500 0.000
0.500 0.500 0.500
0.127 0.873 0.031
0.436 0.564 0.250
0.127 0.873 0.469
0.873 0.127 0.531
0.564 0.436 0.750
0.873 0.127 0.969
```



SmSnTeAuS2 | PBE-GGA | optimized geometry

```
SmSnTeAuS2
1.0
2.037 -6.961 0.000
2.037 6.961 0.000
0.000 0.000 11.223
Au S Sm Sn Te
2 4 2 2 2
direct
0.476 0.524 0.250
0.524 0.476 0.750
0.369 0.631 0.067
0.369 0.631 0.433
0.631 0.369 0.567
0.631 0.369 0.933
0.000 0.000 0.000
0.000 0.000 0.500
0.802 0.198 0.250
0.198 0.802 0.750
0.115 0.885 0.250
0.885 0.115 0.750
```



PrPuAs | PBE-GGA | optimized geometry

```
PrPuAs
1.0
4.914 -0.556 0.570
1.877 -1.113 4.474
1.913 -4.518 0.843
As Pr Pu
1 1 1
direct
0.000 0.000 0.000
0.250 0.250 0.250
0.750 0.750 0.750
```



CdAsPdO | PBE-GGA | optimized geometry

```
CdAsPdO
1.0
-0.103 4.250 -0.375
-2.423 0.250 3.504
6.122 0.520 4.195
As Cd O Pd
2 2 2 2
direct
0.750 0.750 0.325
0.250 0.250 0.675
0.250 0.250 0.103
0.750 0.750 0.897
0.750 0.250 0.000
0.250 0.750 0.000
0.750 0.250 0.500
0.250 0.750 0.500
```

Calculated values
Relative energy among the computed polymorphs in eV/f.u.: 0.00



PmGdNO | PBE-GGA | optimized geometry

```
PmGdNO
1.0
6.745 0.000 0.000
0.000 8.227 0.000
0.000 0.000 5.082
Gd N O Pm
4 4 4 4
direct
0.573 0.379 0.051
0.073 0.621 0.051
0.927 0.379 0.551
0.427 0.621 0.551
0.433 0.130 0.050
0.933 0.870 0.050
0.067 0.130 0.550
0.567 0.870 0.550
0.906 0.376 0.051
0.406 0.624 0.051
0.594 0.376 0.551
0.094 0.624 0.551
0.081 0.128 0.050
0.581 0.872 0.050
0.419 0.128 0.550
0.919 0.872 0.550
```

Calculated values
Relative energy among the computed polymorphs in eV/f.u.: 0.21



CsCuTe3Pb | PBE-GGA | optimized geometry

```
CsCuTe3Pb
1.0
-0.047 3.778 7.204
-2.377 0.151 7.778
10.394 -6.158 3.297
Cs Cu Pb Te
2 2 2 6
direct
0.281 0.281 0.250
0.719 0.719 0.750
0.583 0.583 0.250
0.417 0.417 0.750
0.000 0.000 0.000
0.000 0.000 0.500
0.644 0.644 0.057
0.991 0.991 0.250
0.644 0.644 0.443
0.356 0.356 0.557
0.009 0.009 0.750
0.356 0.356 0.943
```



AcTmPu | PBE-GGA | optimized geometry

```
AcTmPu
1.0
1.385 -5.286 0.185
-3.024 -3.519 2.892
-3.070 -3.722 -2.571
Ac Pu Tm
1 1 1
direct
0.250 0.250 0.250
0.000 0.000 0.000
0.750 0.750 0.750
```

Calculated values
Relative energy among the computed polymorphs in eV/f.u.: 0.00
Formation energy in eV per formula unit: 2.3



no.,ρ (kg/m³),total DFT energy (no corrections) (eV per atom)
1,8550,-6.341
2,5449,-4.089
3,6861,-4.721
4,8755,-8.475
5,7593,-4.329
6,7825,-7.760
7,6118,-3.301
8,9196,-6.808